## BP3RhC (PBE)

Data for a relaxed BP3RhC crystal.

a b c (Å): 3.128 4.692 6.468
angles (deg): 65.40 89.97 70.51
Sites, in units of the cell vectors:
P (0.804, 0.407, 0.178)
P (0.606, 0.800, 0.551)
P (0.010, 0.993, 0.095)
Rh (0.551, 0.912, 0.878)
C (0.352, 0.309, 0.371)
B (0.179, 0.654, 0.427)

Summary:
Energy relative to the lowest polymorph listed for this composition ... 43 meV per atom
Calculated density ... 4521 kg/m³